Density functional theory data (PBE) for Ba4WSe after structural relaxation.

Properties
- formation energy without anion corrections (eV per atom) = 1.01
- VASP energy (eV per atom) = -3.008
- symmetry = F-43m, No. 216

Lattice parameters (Å, degrees): 7.0307 7.0307 7.0307 60.00 60.00 60.00
Atoms (fractional coordinates):
Ba 0.8748 0.3751 0.3751
Ba 0.3751 0.3751 0.8748
Ba 0.3751 0.8748 0.3751
Ba 0.3751 0.3751 0.3751
W 0.0000 0.0000 0.0000
Se 0.7500 0.7500 0.7500